Crystalline TbPrGa6 at its relaxed geometry. Source: the Alexandria database, functional PBE.

Results
DOS(E_F) = 2.76 states/eV/cell
E_tot = -4.0031 eV per atom
V = 20.401 Å³/atom

a b c (Å): 6.398 6.398 4.603
angles (deg): 90.00 90.00 120.00
Positions (direct):
Tb: 0.000 0.000 0.000
Pr: 0.333 0.667 0.500
Ga: 0.375 0.188 0.500
Ga: 0.524 0.048 0.000
Ga: 0.524 0.476 0.000
Ga: 0.812 0.188 0.500
Ga: 0.812 0.625 0.500
Ga: 0.952 0.476 0.000

***

Crystalline MnNbVFe at its relaxed geometry. Source: the Alexandria database, functional PBE.

Results
DOS(E_F) = 3.88 states/eV/cell
E_tot = -9.2889 eV per atom
V = 13.230 Å³/atom

a b c (Å): 4.214 4.214 4.214
angles (deg): 60.00 60.00 60.00
Positions (direct):
Mn: 0.000 0.000 0.000
Nb: 0.750 0.750 0.750
V: 0.250 0.250 0.250
Fe: 0.500 0.500 0.500

***

Crystalline Ce6CoHg2N at its relaxed geometry. Source: the Alexandria database, functional PBE.

Results
DOS(E_F) = 27.49 states/eV/cell
E_tot = -5.5471 eV per atom
V = 25.418 Å³/atom

a b c (Å): 6.942 6.944 7.196
angles (deg): 61.23 61.23 89.97
Positions (direct):
Ce: 0.193 0.295 0.000
Ce: 0.230 0.236 0.535
Ce: 0.297 0.810 0.995
Ce: 0.703 0.190 0.005
Ce: 0.770 0.764 0.465
Ce: 0.807 0.705 0.000
Co: 0.500 0.500 0.000
Hg: 0.250 0.751 0.500
Hg: 0.750 0.249 0.500
N: 0.000 0.000 0.000

***

Crystalline Sc2TaAg at its relaxed geometry. Source: the Alexandria database, functional PBE.

Results
Distance to the lowest polymorph of the same formula = 1.60 eV per formula unit
DOS(E_F) = 5.39 states/eV/cell
V = 20.085 Å³/atom

a b c (Å): 4.843 4.843 4.843
angles (deg): 60.00 60.00 60.00
Positions (direct):
Sc: 0.000 0.000 0.000
Sc: 0.250 0.250 0.250
Ta: 0.750 0.750 0.750
Ag: 0.500 0.500 0.500

***

Crystalline CaHgIr2I at its relaxed geometry. Source: the Alexandria database, functional PBE.

Results
DOS(E_F) = 4.21 states/eV/cell
E_tot = -3.2947 eV per atom
V = 28.098 Å³/atom

a b c (Å): 4.931 4.931 5.778
angles (deg): 90.00 90.00 90.00
Positions (direct):
Ca: 0.000 0.000 0.000
Hg: 0.500 0.500 0.000
Ir: 0.000 0.500 0.500
Ir: 0.500 0.000 0.500
I: 0.000 0.000 0.500

***

Crystalline ReSi2Sb at its relaxed geometry. Source: the Alexandria database, functional PBE.

Results
DOS(E_F) = 1.59 states/eV/cell
E_tot = -6.6009 eV per atom
V = 17.834 Å³/atom

a b c (Å): 8.591 8.591 8.591
angles (deg): 21.01 21.01 21.01
Positions (direct):
Re: 0.000 0.000 0.000
Si: 0.265 0.265 0.265
Si: 0.735 0.735 0.735
Sb: 0.500 0.500 0.500

***

Crystalline YMgGa2Co at its relaxed geometry. Source: the Alexandria database, functional PBE.

Results
DOS(E_F) = 1.90 states/eV/cell
E_tot = -4.5111 eV per atom
V = 19.323 Å³/atom

a b c (Å): 4.563 4.563 4.640
angles (deg): 90.00 90.00 90.00
Positions (direct):
Y: 0.000 0.000 0.000
Mg: 0.500 0.500 0.000
Ga: 0.000 0.500 0.500
Ga: 0.500 0.000 0.500
Co: 0.500 0.500 0.500

***

Crystalline Mg2CdIr at its relaxed geometry. Source: the Alexandria database, functional PBE.

Results
DOS(E_F) = 2.47 states/eV/cell
E_tot = -3.0503 eV per atom
V = 23.112 Å³/atom

a b c (Å): 7.367 7.367 7.367
angles (deg): 156.97 143.67 43.45
Positions (direct):
Mg: 0.185 0.185 0.000
Mg: 0.815 0.815 0.000
Cd: 0.500 0.500 0.000
Ir: 0.000 0.000 0.000